VASP calculation (GGA-PBEsol) on crystalline TaTlTe2 at its relaxed geometry.

Computed properties:
**Space group**: Imm2, No. 44
**E_tot**: -5.614 eV/atom
**V**: 108.3 Å³/f.u.

abc: 3.537 3.634 8.798
angles: 101.92 101.60 90.00
Atoms (fractional coordinates):
Ta: 0.299 0.799 0.599
Te: 0.921 0.921 0.843
Te: 0.723 0.223 0.446
Tl: 0.557 0.557 0.113



VASP calculation (GGA-PBEsol) on crystalline TaTl2Te at its relaxed geometry.

Computed properties:
**Energy above the lowest structure with this stoichiometry**: 60 meV/atom
**Space group**: Imm2, No. 44
**E_tot**: -5.043 eV/atom
**V**: 106.1 Å³/f.u.

abc: 3.276 4.857 7.284
angles: 109.48 103.00 90.00
Atoms (fractional coordinates):
Ta: 0.483 0.983 0.967
Te: 0.822 0.822 0.643
Tl: 0.013 0.513 0.025
Tl: 0.182 0.182 0.365



VASP calculation (GGA-PBEsol) on crystalline TaTl2Te at its relaxed geometry.

Computed properties:
**Energy above the lowest structure with this stoichiometry**: 0 meV/atom
**Space group**: Cmm2, No. 35
**E_tot**: -5.103 eV/atom
**V**: 99.9 Å³/f.u.

abc: 3.204 3.204 10.477
angles: 90.00 90.00 111.71
Atoms (fractional coordinates):
Ta: 0.000 0.000 0.496
Te: 0.500 0.500 0.300
Tl: 0.000 0.000 0.981
Tl: 0.500 0.500 0.722



VASP calculation (GGA-PBEsol) on crystalline TaTlTe at its relaxed geometry.

Computed properties:
**Space group**: I4mm, No. 107
**E_tot**: -6.026 eV/atom
**V**: 68.2 Å³/f.u.

abc: 3.427 3.427 6.289
angles: 105.81 105.81 90.00
Atoms (fractional coordinates):
Ta: 0.014 0.014 0.027
Te: 0.637 0.637 0.274
Tl: 0.349 0.349 0.699



VASP calculation (GGA-PBEsol) on crystalline Ta2TeW at its relaxed geometry.

Computed properties:
**Space group**: P2/m, No. 10
**E_tot**: -10.414 eV/atom
**V**: 72.9 Å³/f.u.

abc: 3.378 3.364 6.437
angles: 94.47 90.00 90.00
Atoms (fractional coordinates):
Ta: 0.000 0.981 0.273
Ta: 0.000 0.019 0.727
Te: 0.500 0.500 0.000
W: 0.500 0.500 0.500



VASP calculation (GGA-PBEsol) on crystalline TaTe2W at its relaxed geometry.

Computed properties:
**Space group**: Imm2, No. 44
**E_tot**: -7.918 eV/atom
**V**: 87.3 Å³/f.u.

abc: 3.342 4.357 6.591
angles: 109.30 104.69 90.00
Atoms (fractional coordinates):
Ta: 0.822 0.322 0.643
Te: 0.977 0.977 0.954
Te: 0.207 0.707 0.414
W: 0.494 0.494 0.988



VASP calculation (GGA-PBEsol) on crystalline Ta2TeW at its relaxed geometry.

Computed properties:
**Space group**: I4/mmm, No. 139
**E_tot**: -10.216 eV/atom
**V**: 70.7 Å³/f.u.

abc: 4.101 4.101 5.108
angles: 113.67 113.67 90.00
Atoms (fractional coordinates):
Ta: 0.750 0.250 0.500
Ta: 0.250 0.750 0.500
Te: 0.500 0.500 0.000
W: 0.000 0.000 0.000



VASP calculation (GGA-PBEsol) on crystalline Ta2TeW at its relaxed geometry.

Computed properties:
**Space group**: P4/mmm, No. 123
**E_tot**: -10.150 eV/atom
**V**: 70.9 Å³/f.u.

abc: 4.176 4.121 4.121
angles: 90.00 90.00 90.00
Atoms (fractional coordinates):
Ta: 0.000 0.000 0.500
Ta: 0.000 0.500 0.000
Te: 0.500 0.500 0.500
W: 0.500 0.000 0.000



VASP calculation (GGA-PBEsol) on crystalline TaTeW3 at its relaxed geometry.

Computed properties:
**Space group**: Pm-3m, No. 221
**E_tot**: -9.153 eV/atom
**V**: 110.7 Å³/f.u.

abc: 4.801 4.801 4.801
angles: 90.00 90.00 90.00
Atoms (fractional coordinates):
Te: 0.500 0.500 0.500
W: 0.000 0.500 0.000
W: 0.000 0.000 0.500
W: 0.500 0.000 0.000
Ta: 0.000 0.000 0.000



VASP calculation (GGA-PBEsol) on crystalline YTa2Te at its relaxed geometry.

Computed properties:
**Space group**: Imm2, No. 44
**E_tot**: -8.762 eV/atom
**V**: 83.7 Å³/f.u.

abc: 3.692 4.886 5.561
angles: 116.06 109.39 90.00
Atoms (fractional coordinates):
Ta: 0.017 0.017 0.034
Ta: 0.735 0.235 0.470
Te: 0.489 0.489 0.978
Y: 0.259 0.759 0.518



VASP calculation (GGA-PBEsol) on crystalline YTaTe2 at its relaxed geometry.

Computed properties:
**Energy above the lowest structure with this stoichiometry**: 813 meV/atom
**Space group**: F-43m, No. 216
**E_tot**: -6.326 eV/atom
**V**: 92.5 Å³/f.u.

abc: 5.077 5.077 5.077
angles: 60.00 60.00 60.00
Last column: magnetic moment on the atom in μB.
Atoms (fractional coordinates):
Ta: 0.500 0.500 0.500  0.20
Te: 0.000 0.000 0.000  -0.01
Te: 0.250 0.250 0.250  -0.01
Y: 0.750 0.750 0.750  0.09



VASP calculation (GGA-PBEsol) on crystalline YTaTe2 at its relaxed geometry.

Computed properties:
**Energy above the lowest structure with this stoichiometry**: 318 meV/atom
**Space group**: R-3m, No. 166
**E_tot**: -6.822 eV/atom
**V**: 108.4 Å³/f.u.

abc: 3.571 3.571 10.034
angles: 79.75 79.75 60.00
Atoms (fractional coordinates):
Y: 0.000 0.000 0.000
Te: 0.897 0.897 0.310
Te: 0.103 0.103 0.690
Ta: 0.500 0.500 0.500



VASP calculation (GGA-PBEsol) on crystalline Y2Ta2Te at its relaxed geometry.

Computed properties:
**Space group**: I4/mmm, No. 139
**E_tot**: -8.511 eV/atom
**V**: 126.6 Å³/f.u.

abc: 3.753 3.753 9.374
angles: 101.55 101.55 90.00
Atoms (fractional coordinates):
Ta: 0.250 0.750 0.500
Ta: 0.750 0.250 0.500
Te: 0.000 0.000 0.000
Y: 0.605 0.605 0.211
Y: 0.395 0.395 0.789



VASP calculation (GGA-PBEsol) on crystalline YTaTe2 at its relaxed geometry.

Computed properties:
**Energy above the lowest structure with this stoichiometry**: 471 meV/atom
**Space group**: I-4m2, No. 119
**E_tot**: -6.668 eV/atom
**V**: 93.8 Å³/f.u.

abc: 4.162 4.162 6.162
angles: 109.74 109.74 90.00
Last column: magnetic moment on the atom in μB.
Atoms (fractional coordinates):
Ta: 0.250 0.750 0.500  0.42
Te: 0.000 0.000 0.000  0.00
Te: 0.750 0.250 0.500  -0.01
Y: 0.500 0.500 0.000  0.11



VASP calculation (GGA-PBEsol) on crystalline YTaTe2 at its relaxed geometry.

Computed properties:
**Energy above the lowest structure with this stoichiometry**: 0 meV/atom
**Space group**: P4mm, No. 99
**E_tot**: -7.139 eV/atom
**V**: 96.3 Å³/f.u.

abc: 3.775 3.775 6.760
angles: 90.00 90.00 90.00
Atoms (fractional coordinates):
Ta: 0.500 0.500 0.766
Te: 0.000 0.000 0.939
Te: 0.500 0.500 0.308
Y: 0.000 0.000 0.487



VASP calculation (GGA-PBEsol) on crystalline YTa2Te at its relaxed geometry.

Computed properties:
**Space group**: I-4m2, No. 119
**E_tot**: -8.672 eV/atom
**V**: 82.1 Å³/f.u.

abc: 4.476 4.476 5.178
angles: 115.61 115.61 90.00
Atoms (fractional coordinates):
Ta: 0.000 0.000 0.000
Ta: 0.750 0.250 0.500
Te: 0.500 0.500 0.000
Y: 0.250 0.750 0.500



VASP calculation (GGA-PBEsol) on crystalline YTa2Te at its relaxed geometry.

Computed properties:
**Space group**: P4mm, No. 99
**E_tot**: -8.945 eV/atom
**V**: 86.2 Å³/f.u.

abc: 3.495 3.495 7.054
angles: 90.00 90.00 90.00
Atoms (fractional coordinates):
Ta: 0.000 0.000 0.041
Ta: 0.500 0.500 0.235
Te: 0.000 0.000 0.461
Y: 0.500 0.500 0.763



VASP calculation (GGA-PBEsol) on crystalline Y2ZrTaTe at its relaxed geometry.

Computed properties:
**Space group**: P4/mmm, No. 123
**E_tot**: -6.953 eV/atom
**V**: 147.7 Å³/f.u.

abc: 5.146 5.357 5.357
angles: 90.00 90.00 90.00
Last column: magnetic moment on the atom in μB.
Atoms (fractional coordinates):
Y: 0.000 0.000 0.500  0.06
Y: 0.000 0.500 0.000  0.06
Te: 0.500 0.000 0.000  -0.01
Zr: 0.500 0.500 0.500  0.70
Ta: 0.000 0.000 0.000  -0.05



VASP calculation (GGA-PBEsol) on crystalline Ta2ZnTe at its relaxed geometry.

Computed properties:
**Energy above the lowest structure with this stoichiometry**: 129 meV/atom
**Space group**: R-3m, No. 166
**E_tot**: -7.218 eV/atom
**V**: 72.8 Å³/f.u.

abc: 3.094 3.094 8.962
angles: 80.06 80.06 60.00
Atoms (fractional coordinates):
Ta: 0.252 0.252 0.245
Ta: 0.748 0.748 0.755
Te: 0.500 0.500 0.500
Zn: 0.000 0.000 0.000



VASP calculation (GGA-PBEsol) on crystalline Ta3ZnTe at its relaxed geometry.

Computed properties:
**Space group**: Pm-3m, No. 221
**E_tot**: -6.604 eV/atom
**V**: 120.5 Å³/f.u.

abc: 4.939 4.939 4.939
angles: 90.00 90.00 90.00
Atoms (fractional coordinates):
Zn: 0.500 0.500 0.500
Te: 0.000 0.000 0.000
Ta: 0.000 0.500 0.000
Ta: 0.000 0.000 0.500
Ta: 0.500 0.000 0.000